(1)
# BC PBE relaxed
# DOS at the Fermi energy: 1.36 states/eV per cell
# formation energy: 9.5 kcal/mol of atoms
# magnetic moment: 0.000 μB per atom
data_BC
_chemical_formula_sum 'B12 C12'
_cell_length_a 11.613
_cell_length_b 2.622
_cell_length_c 5.737
_cell_angle_alpha 90.00
_cell_angle_beta 107.83
_cell_angle_gamma 90.00
_symmetry_space_group_name_H-M 'C 1 m 1'
_symmetry_Int_Tables_number 8
_symmetry_space_group_name_Hall 'C -2y'
loop_
_atom_site_label
_atom_site_type_symbol
_atom_site_fract_x
_atom_site_fract_y
_atom_site_fract_z
_atom_site_occupancy
B1 B 0.000 0.000 0.000 1
B2 B 0.048 0.500 0.547 1
B3 B 0.166 0.500 0.242 1
B4 B 0.264 0.000 0.346 1
B5 B 0.316 0.000 0.676 1
B6 B 0.375 0.500 0.557 1
C1 C 0.070 0.500 0.984 1
C2 C 0.152 0.500 0.806 1
C3 C 0.233 0.000 0.850 1
C4 C 0.327 0.000 0.111 1
C5 C 0.407 0.500 0.155 1
C6 C 0.482 0.500 0.433 1


(2)
# BC PBE relaxed
# formation energy: 9.2 kcal/mol of atoms
# magnetic moment: 0.000 μB per atom
data_BC
_chemical_formula_sum 'B6 C6'
_cell_length_a 3.776
_cell_length_b 4.627
_cell_length_c 5.402
_cell_angle_alpha 106.51
_cell_angle_beta 91.15
_cell_angle_gamma 113.91
_symmetry_space_group_name_H-M 'P 1'
_symmetry_Int_Tables_number 1
_symmetry_space_group_name_Hall 'P 1'
loop_
_atom_site_label
_atom_site_type_symbol
_atom_site_fract_x
_atom_site_fract_y
_atom_site_fract_z
_atom_site_occupancy
B1 B 0.000 0.000 0.000 1
B2 B 0.055 0.003 0.425 1
B3 B 0.363 0.627 0.622 1
B4 B 0.506 0.979 0.506 1
B5 B 0.631 0.652 0.347 1
B6 B 0.759 0.379 0.792 1
C1 C 0.333 0.997 0.192 1
C2 C 0.376 0.655 0.102 1
C3 C 0.614 0.666 0.871 1
C4 C 0.725 0.327 0.268 1
C5 C 0.941 0.319 0.513 1
C6 C 0.972 0.339 0.031 1


(3)
# BC PBE relaxed
# DOS at the Fermi energy: 6.42 states/eV per cell
# formation energy: 9.0 kcal/mol of atoms
# magnetic moment: 0.000 μB per atom
data_BC
_chemical_formula_sum 'B12 C12'
_cell_length_a 13.045
_cell_length_b 2.482
_cell_length_c 5.059
_cell_angle_alpha 90.00
_cell_angle_beta 102.92
_cell_angle_gamma 90.00
_symmetry_space_group_name_H-M 'C 1 2/m 1'
_symmetry_Int_Tables_number 12
_symmetry_space_group_name_Hall '-C 2y'
loop_
_atom_site_label
_atom_site_type_symbol
_atom_site_fract_x
_atom_site_fract_y
_atom_site_fract_z
_atom_site_occupancy
B1 B 0.040 0.000 0.178 1
B2 B 0.061 0.000 0.622 1
B3 B 0.139 0.500 0.188 1
C1 C 0.145 0.500 0.688 1
C2 C 0.214 0.500 0.977 1
C3 C 0.217 0.500 0.492 1


(4)
# B3C PBE relaxed
# DOS at the Fermi energy: 4.04 states/eV per cell
# formation energy: 9.9 kcal/mol of atoms
# magnetic moment: 0.000 μB per atom
data_B3C
_chemical_formula_sum 'B18 C6'
_cell_length_a 12.212
_cell_length_b 2.708
_cell_length_c 5.865
_cell_angle_alpha 90.00
_cell_angle_beta 99.96
_cell_angle_gamma 90.00
_symmetry_space_group_name_H-M 'C 1 m 1'
_symmetry_Int_Tables_number 8
_symmetry_space_group_name_Hall 'C -2y'
loop_
_atom_site_label
_atom_site_type_symbol
_atom_site_fract_x
_atom_site_fract_y
_atom_site_fract_z
_atom_site_occupancy
B1 B 0.000 0.000 0.000 1
B2 B 0.001 0.000 0.451 1
B3 B 0.051 0.000 0.742 1
B4 B 0.131 0.500 0.210 1
B5 B 0.152 0.500 0.823 1
B6 B 0.261 0.500 0.665 1
B7 B 0.294 0.000 0.067 1
B8 B 0.402 0.000 0.898 1
B9 B 0.427 0.000 0.538 1
C1 C 0.071 0.000 0.252 1
C2 C 0.234 0.500 0.081 1
C3 C 0.321 0.000 0.647 1


(5)
# B7C5 PBE relaxed
# DOS at the Fermi energy: 1.35 states/eV per cell
# formation energy: 8.1 kcal/mol of atoms
# magnetic moment: 0.000 μB per atom
data_B7C5
_chemical_formula_sum 'B7 C5'
_cell_length_a 2.6456
_cell_length_b 2.6456
_cell_length_c 15.2818
_cell_angle_alpha 90.00
_cell_angle_beta 90.00
_cell_angle_gamma 120.00
_symmetry_space_group_name_H-M 'P 3 m 1'
_symmetry_Int_Tables_number 156
_symmetry_space_group_name_Hall 'P 3 -2"'
loop_
_atom_site_label
_atom_site_type_symbol
_atom_site_fract_x
_atom_site_fract_y
_atom_site_fract_z
_atom_site_occupancy
B1 B 0.0000 0.0000 0.0000 1
B2 B 0.0000 0.0000 0.1107 1
B3 B 0.0000 0.0000 0.6516 1
B4 B 0.3333 0.6667 0.1822 1
B5 B 0.3333 0.6667 0.7183 1
B6 B 0.6667 0.3333 0.2924 1
B7 B 0.6667 0.3333 0.5410 1
C1 C 0.0000 0.0000 0.5491 1
C2 C 0.3333 0.6667 0.2844 1
C3 C 0.3333 0.6667 0.8210 1
C4 C 0.6667 0.3333 0.8568 1
C5 C 0.6667 0.3333 0.9548 1


(6)
# BC PBE relaxed
# DOS at the Fermi energy: 3.79 states/eV per cell
# formation energy: 9.3 kcal/mol of atoms
# magnetic moment: 0.000 μB per atom
data_BC
_chemical_formula_sum 'B12 C12'
_cell_length_a 14.277
_cell_length_b 2.653
_cell_length_c 4.680
_cell_angle_alpha 90.00
_cell_angle_beta 109.00
_cell_angle_gamma 90.00
_symmetry_space_group_name_H-M 'C 1 m 1'
_symmetry_Int_Tables_number 8
_symmetry_space_group_name_Hall 'C -2y'
loop_
_atom_site_label
_atom_site_type_symbol
_atom_site_fract_x
_atom_site_fract_y
_atom_site_fract_z
_atom_site_occupancy
B1 B 0.000 0.000 0.000 1
B2 B 0.002 0.500 0.574 1
B3 B 0.069 0.000 0.453 1
B4 B 0.166 0.500 0.991 1
B5 B 0.235 0.500 0.539 1
B6 B 0.341 0.000 0.080 1
C1 C 0.052 0.500 0.960 1
C2 C 0.185 0.000 0.579 1
C3 C 0.219 0.000 0.954 1
C4 C 0.350 0.500 0.571 1
C5 C 0.383 0.000 0.447 1
C6 C 0.383 0.500 0.925 1


(7)
# B7C5 PBE relaxed
# DOS at the Fermi energy: 4.12 states/eV per cell
# formation energy: 7.2 kcal/mol of atoms
# magnetic moment: 0.000 μB per atom
data_B7C5
_chemical_formula_sum 'B14 C10'
_cell_length_a 3.836
_cell_length_b 11.783
_cell_length_c 3.799
_cell_angle_alpha 90.00
_cell_angle_beta 91.82
_cell_angle_gamma 90.00
_symmetry_space_group_name_H-M 'C 1 2 1'
_symmetry_Int_Tables_number 5
_symmetry_space_group_name_Hall 'C 2y'
loop_
_atom_site_label
_atom_site_type_symbol
_atom_site_fract_x
_atom_site_fract_y
_atom_site_fract_z
_atom_site_occupancy
B1 B 0.000 0.000 0.000 1
B2 B 0.000 0.120 0.500 1
B3 B 0.000 0.622 0.000 1
B4 B 0.209 0.374 0.291 1
B5 B 0.244 0.741 0.249 1
C1 C 0.000 0.307 0.000 1
C2 C 0.000 0.474 0.500 1
C3 C 0.000 0.809 0.500 1
C4 C 0.234 0.550 0.734 1


(8)
# BC PBE relaxed
# formation energy: 8.0 kcal/mol of atoms
# magnetic moment: 0.000 μB per atom
data_BC
_chemical_formula_sum 'B6 C6'
_cell_length_a 4.485
_cell_length_b 4.626
_cell_length_c 5.188
_cell_angle_alpha 64.58
_cell_angle_beta 77.63
_cell_angle_gamma 61.25
_symmetry_space_group_name_H-M 'P 1'
_symmetry_Int_Tables_number 1
_symmetry_space_group_name_Hall 'P 1'
loop_
_atom_site_label
_atom_site_type_symbol
_atom_site_fract_x
_atom_site_fract_y
_atom_site_fract_z
_atom_site_occupancy
B1 B 0.000 0.000 0.000 1
B2 B 0.050 0.570 0.218 1
B3 B 0.263 0.744 0.309 1
B4 B 0.348 0.335 0.971 1
B5 B 0.448 0.977 0.579 1
B6 B 0.859 0.293 0.368 1
C1 C 0.012 0.731 0.853 1
C2 C 0.146 0.912 0.550 1
C3 C 0.362 0.988 0.984 1
C4 C 0.489 0.324 0.335 1
C5 C 0.670 0.726 0.854 1
C6 C 0.678 0.354 0.005 1


(9)
# B7C5 PBE relaxed
# DOS at the Fermi energy: 3.55 states/eV per cell
# formation energy: 8.2 kcal/mol of atoms
# magnetic moment: 0.000 μB per atom
data_B7C5
_chemical_formula_sum 'B14 C10'
_cell_length_a 11.723
_cell_length_b 2.718
_cell_length_c 5.315
_cell_angle_alpha 90.00
_cell_angle_beta 101.66
_cell_angle_gamma 90.00
_symmetry_space_group_name_H-M 'C 1 m 1'
_symmetry_Int_Tables_number 8
_symmetry_space_group_name_Hall 'C -2y'
loop_
_atom_site_label
_atom_site_type_symbol
_atom_site_fract_x
_atom_site_fract_y
_atom_site_fract_z
_atom_site_occupancy
B1 B 0.000 0.000 0.000 1
B2 B 0.005 0.500 0.662 1
B3 B 0.176 0.000 0.021 1
B4 B 0.185 0.000 0.608 1
B5 B 0.314 0.500 0.869 1
B6 B 0.411 0.000 0.911 1
B7 B 0.486 0.000 0.208 1
C1 C 0.076 0.000 0.755 1
C2 C 0.242 0.500 0.103 1
C3 C 0.244 0.500 0.567 1
C4 C 0.324 0.500 0.372 1
C5 C 0.402 0.000 0.404 1


(10)
# BC PBE relaxed
# DOS at the Fermi energy: 2.90 states/eV per cell
# formation energy: 10.6 kcal/mol of atoms
# magnetic moment: 0.000 μB per atom
data_BC
_chemical_formula_sum 'B6 C6'
_cell_length_a 2.546
_cell_length_b 8.004
_cell_length_c 4.022
_cell_angle_alpha 90.00
_cell_angle_beta 90.00
_cell_angle_gamma 90.00
_symmetry_space_group_name_H-M 'P m m 2'
_symmetry_Int_Tables_number 25
_symmetry_space_group_name_Hall 'P 2 -2'
loop_
_atom_site_label
_atom_site_type_symbol
_atom_site_fract_x
_atom_site_fract_y
_atom_site_fract_z
_atom_site_occupancy
B1 B 0.000 0.000 0.000 1
B2 B 0.000 0.180 0.700 1
B3 B 0.500 0.173 0.393 1
B4 B 0.500 0.500 0.425 1
C1 C 0.000 0.342 0.953 1
C2 C 0.000 0.500 0.720 1
C3 C 0.500 0.000 0.190 1
C4 C 0.500 0.340 0.174 1